A.
A plane-wave DFT calculation with PBE was carried out for crystalline Li2AgRu at its relaxed geometry.

Unit cell a=2.7416 b=2.7416 c=27.5383 alpha=90.00 beta=90.00 gamma=120.00
Space group R-3m (No. 166, hexagonal axes)
One atom of each set of equivalent atoms:
Li 0.0000 0.0000 0.2449 x6
Ag 0.0000 0.0000 0.0000 x3
Ru 0.0000 0.0000 0.5000 x3

DOS at the Fermi energy, states/eV per cell: 8.3



B.
A plane-wave DFT calculation with PBE was carried out for crystalline Li2AgRu at its relaxed geometry.

Unit cell a=2.8351 b=4.5953 c=9.6636 alpha=90.00 beta=90.00 gamma=90.00
Space group Cmm2 (No. 35)
One atom of each set of equivalent atoms:
Li 0.0000 0.0000 0.0000 x2
Li 0.0000 0.5000 0.2755 x2
Ag 0.0000 0.0000 0.5138 x2
Ru 0.0000 0.5000 0.7741 x2

DOS at the Fermi energy, states/eV per cell: 3.8



C.
A plane-wave DFT calculation with PBE was carried out for crystalline Li2AgRu at its relaxed geometry.

Unit cell a=9.5358 b=2.5879 c=4.8644 alpha=90.00 beta=97.10 gamma=90.00
Space group Cm (No. 8)
One atom of each set of equivalent atoms:
Li 0.0000 0.0000 0.0000 x2
Li 0.2415 0.0000 0.7351 x2
Ag 0.2474 0.5000 0.2503 x2
Ru 0.4943 0.0000 0.4980 x2

DOS at the Fermi energy, states/eV per cell: 4.9



Most favorable structure: A. The second most favorable one is 0.085 eV/atom above it.



A.
A plane-wave DFT calculation with PBE was carried out for crystalline Li2AgRu at its relaxed geometry.

Unit cell a=3.9463 b=3.9463 c=3.6782 alpha=90.00 beta=90.00 gamma=90.00
Space group P4/mmm (No. 123)
One atom of each set of equivalent atoms:
Li 0.0000 0.5000 0.0000 x2
Ag 0.0000 0.0000 0.5000 x1
Ru 0.5000 0.5000 0.5000 x1

DOS at the Fermi energy, states/eV per cell: 2.7



B.
A plane-wave DFT calculation with PBE was carried out for crystalline Li2AgRu at its relaxed geometry.

Unit cell a=6.2663 b=6.2663 c=6.2663 alpha=90.00 beta=90.00 gamma=90.00
Space group F-43m (No. 216)
One atom of each set of equivalent atoms:
Li 0.0000 0.0000 0.0000 x4
Li 0.2500 0.2500 0.2500 x4
Ag 0.0000 0.0000 0.5000 x4
Ru 0.2500 0.2500 0.7500 x4

DOS at the Fermi energy, states/eV per cell: 21.0



Most favorable structure: A. The second most favorable one is 0.059 eV/atom above it.